Arrangement a

First-principles (GGA-PBE) data for Y4RhPb after structural relaxation, as listed in Alexandria via LeMat-Bulk.

## Properties
density of states at the Fermi level: 6.6 states/eV/f.u.

Cell lengths 6.1408, 6.1408, 6.1408 Å; angles 60.00, 60.00, 60.00 degrees
Closest atoms and distances in Å follow each position.
Positions (direct):
Y1 0.8764 0.3745 0.3745  6 Y 3.06-3.08
Y2 0.3745 0.3745 0.8764  6 Y 3.06-3.08
Y3 0.3745 0.8764 0.3745  6 Y 3.06-3.08
Y4 0.3745 0.3745 0.3745  6 Y 3.06-3.08
Rh1 0.0000 0.0000 0.0000  12 Y 3.60, 4 Pb 3.76
Pb1 0.7500 0.7500 0.7500  12 Y 3.60, 4 Rh 3.76

Arrangement b

First-principles (GGA-PBE) data for Y4RhPb after structural relaxation, as listed in Alexandria via LeMat-Bulk.

## Properties
density of states at the Fermi level: 6.0 states/eV/f.u.

Cell lengths 6.1061, 8.5612, 8.1431 Å; angles 114.97, 103.28, 106.03 degrees
Closest atoms and distances in Å follow each position.
Positions (direct):
Y1 0.0468 0.2120 0.8569  2 Rh 2.93-2.98, 1 Pb 3.26
Y2 0.7885 0.7169 0.6580  2 Rh 2.91-2.93, 2 Pb 3.26
Y3 0.3101 0.6448 0.8569  2 Rh 2.93-2.98, 1 Pb 3.26
Y4 0.3696 0.9411 0.6580  2 Rh 2.91-2.93, 2 Pb 3.26
Y5 0.6304 0.0589 0.3420  2 Rh 2.91-2.93, 2 Pb 3.26
Y6 0.6899 0.3552 0.1431  2 Rh 2.93-2.98, 1 Pb 3.26
Y7 0.2115 0.2831 0.3420  2 Rh 2.91-2.93, 2 Pb 3.26
Y8 0.9532 0.7880 0.1431  2 Rh 2.93-2.98, 1 Pb 3.26
Rh1 0.2500 0.0000 0.0000  8 Y 2.91-2.98, 2 Rh 3.05
Rh2 0.7500 0.0000 0.0000  8 Y 2.91-2.98, 2 Rh 3.05
Pb1 0.3787 0.6287 0.2574  8 Y 3.26-3.38
Pb2 0.6213 0.3713 0.7426  8 Y 3.26-3.38

In kJ/mol of atoms, relative to the most stable structure: arrangement a 86.6; arrangement b 0.0.

Arrangement a

First-principles (GGA-PBE) data for Zr2RhPb2 after structural relaxation, as listed in Alexandria via LeMat-Bulk.

## Properties
density of states at the Fermi level: 4.5 states/eV/f.u.

Cell lengths 6.9590, 6.9590, 4.9618 Å; angles 90.00, 90.00, 90.00 degrees
Closest atoms and distances in Å follow each position.
Positions (direct):
Pb1 0.1650 0.6650 0.5000  6 Zr 3.02-3.35, 1 Pb 3.25
Pb2 0.6650 0.8350 0.5000  6 Zr 3.02-3.35, 1 Pb 3.25
Pb3 0.8350 0.3350 0.5000  6 Zr 3.02-3.35, 1 Pb 3.25
Pb4 0.3350 0.1650 0.5000  6 Zr 3.02-3.35, 1 Pb 3.25
Rh1 0.0000 0.0000 0.0000  4 Zr 2.62
Rh2 0.5000 0.5000 0.0000  4 Zr 2.62
Zr1 0.3405 0.8405 0.0000  2 Rh 2.62
Zr2 0.8405 0.6595 0.0000  2 Rh 2.62
Zr3 0.6595 0.1595 0.0000  2 Rh 2.62
Zr4 0.1595 0.3405 0.0000  2 Rh 2.62

Arrangement b

First-principles (GGA-PBE) data for Zr2RhPb2 after structural relaxation, as listed in Alexandria via LeMat-Bulk.

## Properties
density of states at the Fermi level: 3.8 states/eV/f.u.

Cell lengths 7.0670, 7.0670, 4.5203 Å; angles 90.00, 90.00, 90.00 degrees
Closest atoms and distances in Å follow each position.
Positions (direct):
Pb1 0.3507 0.8507 0.0000  2 Rh 2.69, 2 Zr 2.96, 1 Pb 2.98
Pb2 0.8507 0.6493 0.0000  2 Rh 2.69, 2 Zr 2.96, 1 Pb 2.98
Pb3 0.6493 0.1493 0.0000  2 Rh 2.69, 2 Zr 2.96, 1 Pb 2.98
Pb4 0.1493 0.3507 0.0000  2 Rh 2.69, 2 Zr 2.96, 1 Pb 2.98
Rh1 0.0000 0.0000 0.0000  4 Pb 2.69
Rh2 0.5000 0.5000 0.0000  4 Pb 2.69
Zr1 0.1600 0.6600 0.5000  6 Pb 2.96-3.14, 1 Zr 3.20
Zr2 0.6600 0.8400 0.5000  6 Pb 2.96-3.14, 1 Zr 3.20
Zr3 0.8400 0.3400 0.5000  6 Pb 2.96-3.14, 1 Zr 3.20
Zr4 0.3400 0.1600 0.5000  6 Pb 2.96-3.14, 1 Zr 3.20

In kJ/mol of atoms, relative to the most stable structure: arrangement a 3.6; arrangement b 0.0.

Arrangement a

First-principles (GGA-PBE) data for RuPb5 after structural relaxation, as listed in Alexandria via LeMat-Bulk.

## Properties
density of states at the Fermi level: 4.3 states/eV/f.u.

Cell lengths 3.4349, 3.4349, 13.7158 Å; angles 90.00, 90.00, 90.00 degrees
Closest atoms and distances in Å follow each position.
Positions (direct):
Ru1 0.5000 0.5000 0.0000  8 Pb 2.95
Pb1 0.0000 0.0000 0.8782  4 Ru 2.95
Pb2 0.0000 0.0000 0.1218  4 Ru 2.95
Pb3 0.5000 0.5000 0.6822  12 Pb 3.43-3.62
Pb4 0.5000 0.5000 0.3178  12 Pb 3.43-3.62
Pb5 0.0000 0.0000 0.5000  12 Pb 3.43-3.49

Arrangement b

First-principles (GGA-PBE) data for RuPb5 after structural relaxation, as listed in Alexandria via LeMat-Bulk.

## Properties
density of states at the Fermi level: 4.3 states/eV/f.u.

Cell lengths 6.4636, 6.4636, 8.6483 Å; angles 68.12, 68.12, 30.17 degrees
Closest atoms and distances in Å follow each position.
Positions (direct):
Ru1 0.0000 0.0000 0.0000  8 Pb 2.90-2.97
Pb1 0.3676 0.3676 0.8660  2 Ru 2.90
Pb2 0.0000 0.0000 0.5000  10 Pb 3.36-3.66
Pb3 0.6324 0.6324 0.1340  2 Ru 2.90
Pb4 0.6583 0.6583 0.7229  2 Ru 2.97
Pb5 0.3417 0.3417 0.2771  2 Ru 2.97

In kJ/mol of atoms, relative to the most stable structure: arrangement a 0.0; arrangement b 1.6.